(1)
Compound: Pm4PPb2Se
Source: Alexandria
Functional: PBE
Structure: optimized geometry

```
data_Pm4PPb2Se
_chemical_formula_sum 'Pm4 P1 Pb2 Se1'
_cell_length_a 7.1297
_cell_length_b 4.1203
_cell_length_c 8.2505
_cell_angle_alpha 90.00
_cell_angle_beta 106.85
_cell_angle_gamma 90.00
_symmetry_space_group_name_H-M 'P 1'
_symmetry_Int_Tables_number 1
_symmetry_space_group_name_Hall 'P 1'
loop_
_atom_site_label
_atom_site_type_symbol
_atom_site_fract_x
_atom_site_fract_y
_atom_site_fract_z
_atom_site_occupancy
Pm1 Pm 0.2299 0.0000 0.2084 1
Pm2 Pm 0.2531 0.5000 0.7857 1
Pm3 Pm 0.7469 0.5000 0.2143 1
Pm4 Pm 0.7701 0.0000 0.7916 1
P1 P 0.0000 0.5000 0.0000 1
Pb1 Pb 0.0000 0.0000 0.5000 1
Pb2 Pb 0.5000 0.5000 0.5000 1
Se1 Se 0.5000 0.0000 0.0000 1
```

SG = P2/m
DFT total energy = -44.22 eV per cell
M_tot = 0.0 μB/f.u.

(2)
Compound: As5Pb3S10
Source: Alexandria
Functional: PBE
Structure: optimized geometry

```
data_As5Pb3S10
_chemical_formula_sum 'As20 Pb12 S40'
_cell_length_a 8.8019
_cell_length_b 9.9790
_cell_length_c 23.7450
_cell_angle_alpha 90.00
_cell_angle_beta 98.65
_cell_angle_gamma 90.00
_symmetry_space_group_name_H-M 'P 1'
_symmetry_Int_Tables_number 1
_symmetry_space_group_name_Hall 'P 1'
loop_
_atom_site_label
_atom_site_type_symbol
_atom_site_fract_x
_atom_site_fract_y
_atom_site_fract_z
_atom_site_occupancy
As1 As 0.0429 0.1742 0.1813 1
As2 As 0.0769 0.7064 0.3388 1
As3 As 0.1108 0.8636 0.6180 1
As4 As 0.1510 0.3389 0.8782 1
As5 As 0.3056 0.5364 0.6900 1
As6 As 0.3110 0.3962 0.3911 1
As7 As 0.3390 0.0000 0.8410 1
As8 As 0.3407 0.1727 0.1840 1
As9 As 0.3963 0.0401 0.3092 1
As10 As 0.4205 0.8174 0.1012 1
As11 As 0.5795 0.3174 0.8988 1
As12 As 0.6037 0.5401 0.6908 1
As13 As 0.6593 0.6727 0.8160 1
As14 As 0.6610 0.5000 0.1590 1
As15 As 0.6890 0.8962 0.6089 1
As16 As 0.6944 0.0364 0.3100 1
As17 As 0.8490 0.8389 0.1218 1
As18 As 0.8892 0.3636 0.3820 1
As19 As 0.9231 0.2064 0.6612 1
As20 As 0.9571 0.6742 0.8187 1
Pb1 Pb 0.0887 0.0728 0.4417 1
Pb2 Pb 0.1344 0.1564 0.0287 1
Pb3 Pb 0.2140 0.4979 0.1540 1
Pb4 Pb 0.3496 0.6276 0.9515 1
Pb5 Pb 0.4008 0.5909 0.5380 1
Pb6 Pb 0.4752 0.2158 0.6582 1
Pb7 Pb 0.5248 0.7158 0.3418 1
Pb8 Pb 0.5992 0.0909 0.4620 1
Pb9 Pb 0.6504 0.1276 0.0485 1
Pb10 Pb 0.7860 0.9979 0.8460 1
Pb11 Pb 0.8656 0.6564 0.9713 1
Pb12 Pb 0.9113 0.5728 0.5583 1
S1 S 0.0270 0.2134 0.3416 1
S2 S 0.0410 0.7912 0.8977 1
S3 S 0.0968 0.5299 0.4141 1
S4 S 0.1088 0.0345 0.7814 1
S5 S 0.1179 0.7763 0.5313 1
S6 S 0.1330 0.4190 0.9668 1
S7 S 0.1545 0.1716 0.7200 1
S8 S 0.1813 0.0005 0.1496 1
S9 S 0.2206 0.4189 0.6123 1
S10 S 0.2335 0.6692 0.0657 1
S11 S 0.2346 0.6273 0.2849 1
S12 S 0.2866 0.4969 0.8440 1
S13 S 0.3335 0.2694 0.4707 1
S14 S 0.3537 0.1774 0.9138 1
S15 S 0.3644 0.9289 0.3897 1
S16 S 0.3727 0.2857 0.1036 1
S17 S 0.4030 0.9396 0.0221 1
S18 S 0.4436 0.7150 0.6587 1
S19 S 0.4921 0.0346 0.5726 1
S20 S 0.4990 0.0759 0.7870 1
S21 S 0.5010 0.5759 0.2130 1
S22 S 0.5079 0.5346 0.4274 1
S23 S 0.5564 0.2150 0.3413 1
S24 S 0.5970 0.4396 0.9779 1
S25 S 0.6273 0.7857 0.8964 1
S26 S 0.6356 0.4289 0.6103 1
S27 S 0.6463 0.6774 0.0862 1
S28 S 0.6665 0.7694 0.5293 1
S29 S 0.7134 0.9969 0.1560 1
S30 S 0.7654 0.1273 0.7151 1
S31 S 0.7665 0.1692 0.9343 1
S32 S 0.7794 0.9189 0.3877 1
S33 S 0.8187 0.5005 0.8504 1
S34 S 0.8455 0.6716 0.2800 1
S35 S 0.8670 0.9190 0.0332 1
S36 S 0.8821 0.2763 0.4687 1
S37 S 0.8912 0.5345 0.2186 1
S38 S 0.9032 0.0299 0.5859 1
S39 S 0.9590 0.2912 0.1023 1
S40 S 0.9730 0.7134 0.6584 1
```

SG = P2_1
DFT total energy = -318.13 eV per cell
M_tot = 0.0 μB/f.u.